No. 1
The following is a PBE calculation of a relaxed structure of LaTbGdY, from Alexandria.

Results
* DOS(E_F): 8.1 states/eV/f.u.
* formation energy from the elements: 0.103 eV/atom

Cell lengths 5.767, 5.767, 5.767 Å; angles 60.00, 60.00, 60.00 degrees
Atoms (fractional coordinates):
La 0.000 0.000 0.000
Tb 0.250 0.250 0.250
Gd 0.500 0.500 0.500
Y 0.750 0.750 0.750

No. 2
The following is a PBE calculation of a relaxed structure of Pr6BiSe4, from Alexandria.

Results
* DOS(E_F): 10.3 states/eV/f.u.
* ΔE_f (raw): -1.51 eV per atom

Cell lengths 7.288, 7.288, 21.820 Å; angles 90.00, 90.00, 145.66 degrees
Atoms (fractional coordinates):
Pr 0.000 0.000 0.000
Pr 0.000 0.000 0.500
Pr 0.155 0.845 0.750
Pr 0.273 0.727 0.091
Pr 0.273 0.727 0.409
Pr 0.450 0.550 0.661
Pr 0.450 0.550 0.839
Pr 0.550 0.450 0.161
Pr 0.550 0.450 0.339
Pr 0.727 0.273 0.591
Pr 0.727 0.273 0.909
Pr 0.845 0.155 0.250
Bi 0.170 0.830 0.250
Bi 0.830 0.170 0.750
Se 0.087 0.913 0.624
Se 0.087 0.913 0.876
Se 0.359 0.641 0.537
Se 0.359 0.641 0.963
Se 0.641 0.359 0.037
Se 0.641 0.359 0.463
Se 0.913 0.087 0.124
Se 0.913 0.087 0.376

No. 3
The following is a PBE calculation of a relaxed structure of K3MgSn, from Alexandria.

Results
* DOS(E_F): 3.3 states/eV/f.u.
* energy above the lowest structure with this stoichiometry: 0.0 kJ/mol of atoms
* formation energy from the elements: -0.013 eV/atom

Cell lengths 8.917, 8.917, 9.068 Å; angles 119.88, 119.88, 49.52 degrees
Atoms (fractional coordinates):
K 0.005 0.005 0.207
K 0.253 0.253 0.853
K 0.493 0.493 0.694
K 0.507 0.507 0.306
K 0.747 0.747 0.147
K 0.995 0.995 0.793
Mg 0.000 0.500 0.500
Mg 0.500 0.000 0.500
Sn 0.250 0.250 0.257
Sn 0.750 0.750 0.743

No. 4
The following is a PBE calculation of a relaxed structure of CsCaBiF2, from Alexandria.

Results
* DOS(E_F): 2.5 states/eV/f.u.
* ΔE_f (raw): -1.06 eV per atom

Cell lengths 5.219, 5.219, 6.026 Å; angles 90.00, 90.00, 90.00 degrees
Atoms (fractional coordinates):
Cs 0.000 0.000 0.000
Ca 0.500 0.500 0.000
Bi 0.500 0.500 0.500
F 0.000 0.500 0.500
F 0.500 0.000 0.500